A.
# GGA-PBE ErNbCu, optimized geometry
# Crystal system: cubic
# Total magnetization: 0.7 μB per formula unit
# V: 255.5 Å³ per cell
data_ErNbCu
_cell_length_a 6.345
_cell_length_b 6.345
_cell_length_c 6.345
_cell_angle_alpha 90.00
_cell_angle_beta 90.00
_cell_angle_gamma 90.00
_symmetry_space_group_name_H-M 'F -4 3 m'
_symmetry_Int_Tables_number 216
_symmetry_space_group_name_Hall 'F -4 2 3'
loop_
_atom_site_label
_atom_site_type_symbol
_atom_site_fract_x
_atom_site_fract_y
_atom_site_fract_z
Er1 Er 0.000 0.000 0.000
Nb1 Nb 0.000 0.000 0.500
Cu1 Cu 0.250 0.250 0.250

---

B.
# GGA-PBE ErNbCu, optimized geometry
# Crystal system: cubic
# Total magnetization: 2.4 μB per formula unit
# V: 275.9 Å³ per cell
data_ErNbCu
_cell_length_a 6.510
_cell_length_b 6.510
_cell_length_c 6.510
_cell_angle_alpha 90.00
_cell_angle_beta 90.00
_cell_angle_gamma 90.00
_symmetry_space_group_name_H-M 'F -4 3 m'
_symmetry_Int_Tables_number 216
_symmetry_space_group_name_Hall 'F -4 2 3'
loop_
_atom_site_label
_atom_site_type_symbol
_atom_site_fract_x
_atom_site_fract_y
_atom_site_fract_z
Er1 Er 0.000 0.000 0.000
Nb1 Nb 0.250 0.250 0.250
Cu1 Cu 0.250 0.250 0.750

---

The most stable arrangement is A, and the next structure is 70.1 kJ/mol of atoms less stable.

---

A.
# GGA-PBE ErCuPd, optimized geometry
# Crystal system: cubic
# Total magnetization: 0.0 μB per formula unit
# V: 265.2 Å³ per cell
data_ErCuPd
_cell_length_a 6.425
_cell_length_b 6.425
_cell_length_c 6.425
_cell_angle_alpha 90.00
_cell_angle_beta 90.00
_cell_angle_gamma 90.00
_symmetry_space_group_name_H-M 'F -4 3 m'
_symmetry_Int_Tables_number 216
_symmetry_space_group_name_Hall 'F -4 2 3'
loop_
_atom_site_label
_atom_site_type_symbol
_atom_site_fract_x
_atom_site_fract_y
_atom_site_fract_z
Er1 Er 0.000 0.000 0.000
Cu1 Cu 0.250 0.250 0.750
Pd1 Pd 0.250 0.250 0.250

---

B.
# GGA-PBE ErCuPd, optimized geometry
# Crystal system: cubic
# Total magnetization: 0.0 μB per formula unit
# V: 255.4 Å³ per cell
data_ErCuPd
_cell_length_a 6.344
_cell_length_b 6.344
_cell_length_c 6.344
_cell_angle_alpha 90.00
_cell_angle_beta 90.00
_cell_angle_gamma 90.00
_symmetry_space_group_name_H-M 'F -4 3 m'
_symmetry_Int_Tables_number 216
_symmetry_space_group_name_Hall 'F -4 2 3'
loop_
_atom_site_label
_atom_site_type_symbol
_atom_site_fract_x
_atom_site_fract_y
_atom_site_fract_z
Er1 Er 0.000 0.000 0.000
Cu1 Cu 0.000 0.000 0.500
Pd1 Pd 0.250 0.250 0.750

---

The most stable arrangement is B, and the next structure is 34.2 kJ/mol of atoms less stable.

---

A.
# GGA-PBE RbEr2CuTe3S, optimized geometry
# Crystal system: orthorhombic
# Total magnetization: 0.0 μB per formula unit
# V: 944.2 Å³ per cell
data_RbEr2CuTe3S
_cell_length_a 4.250
_cell_length_b 14.948
_cell_length_c 14.862
_cell_angle_alpha 90.00
_cell_angle_beta 90.00
_cell_angle_gamma 90.00
_symmetry_space_group_name_H-M 'C m c m'
_symmetry_Int_Tables_number 63
_symmetry_space_group_name_Hall '-C 2c 2'
loop_
_atom_site_label
_atom_site_type_symbol
_atom_site_fract_x
_atom_site_fract_y
_atom_site_fract_z
Rb1 Rb 0.000 0.090 0.250
Er1 Er 0.000 0.366 0.078
Cu1 Cu 0.000 0.158 0.750
Te1 Te 0.000 0.000 0.000
Te2 Te 0.000 0.271 0.613
S1 S 0.000 0.419 0.250

---

B.
# GGA-PBE RbEr2CuTe3S, optimized geometry
# Crystal system: orthorhombic
# Total magnetization: 0.0 μB per formula unit
# V: 954.9 Å³ per cell
data_RbEr2CuTe3S
_cell_length_a 4.210
_cell_length_b 14.768
_cell_length_c 15.359
_cell_angle_alpha 90.00
_cell_angle_beta 90.00
_cell_angle_gamma 90.00
_symmetry_space_group_name_H-M 'C m c m'
_symmetry_Int_Tables_number 63
_symmetry_space_group_name_Hall '-C 2c 2'
loop_
_atom_site_label
_atom_site_type_symbol
_atom_site_fract_x
_atom_site_fract_y
_atom_site_fract_z
Rb1 Rb 0.000 0.126 0.250
Er1 Er 0.000 0.383 0.060
Cu1 Cu 0.000 0.161 0.750
Te1 Te 0.000 0.257 0.605
Te2 Te 0.000 0.442 0.250
S1 S 0.000 0.000 0.000

---

The most stable arrangement is A, and the next structure is 4.7 kJ/mol of atoms less stable.

---

A.
# GGA-PBE ErCuSnSe3, optimized geometry
# Crystal system: orthorhombic
# Total magnetization: 0.0 μB per formula unit
# V: 569.5 Å³ per cell
data_ErCuSnSe3
_cell_length_a 10.533
_cell_length_b 4.020
_cell_length_c 13.449
_cell_angle_alpha 90.00
_cell_angle_beta 90.00
_cell_angle_gamma 90.00
_symmetry_space_group_name_H-M 'P n m a'
_symmetry_Int_Tables_number 62
loop_
_symmetry_equiv_pos_as_xyz
'x,y,z'
'-x,-y,-z'
'-x+1/2,-y,z+1/2'
'x+1/2,y,-z+1/2'
'x+1/2,-y+1/2,-z+1/2'
'-x+1/2,y+1/2,z+1/2'
'-x,y+1/2,-z'
'x,-y+1/2,z'
loop_
_atom_site_label
_atom_site_type_symbol
_atom_site_fract_x
_atom_site_fract_y
_atom_site_fract_z
Er1 Er 0.020 0.250 0.241
Cu1 Cu 0.237 0.250 0.720
Sn1 Sn 0.218 0.750 0.505
Se1 Se 0.044 0.250 0.614
Se2 Se 0.088 0.750 0.102
Se3 Se 0.235 0.750 0.832

---

B.
# GGA-PBE ErCuSnSe3, optimized geometry
# Crystal system: monoclinic
# Total magnetization: 0.0 μB per formula unit
# V: 579.2 Å³ per cell
data_ErCuSnSe3
_cell_length_a 18.097
_cell_length_b 4.011
_cell_length_c 8.192
_cell_angle_alpha 90.00
_cell_angle_beta 103.10
_cell_angle_gamma 90.00
_symmetry_space_group_name_H-M 'C 1 2/m 1'
_symmetry_Int_Tables_number 12
loop_
_symmetry_equiv_pos_as_xyz
'x,y,z'
'-x,-y,-z'
'-x,y,-z'
'x,-y,z'
'x+1/2,y+1/2,z'
'-x+1/2,-y+1/2,-z'
'-x+1/2,y+1/2,-z'
'x+1/2,-y+1/2,z'
loop_
_atom_site_label
_atom_site_type_symbol
_atom_site_fract_x
_atom_site_fract_y
_atom_site_fract_z
Er1 Er 0.162 0.000 0.084
Cu1 Cu 0.040 0.500 0.208
Sn1 Sn 0.125 0.000 0.568
Se1 Se 0.000 0.000 0.000
Se2 Se 0.000 0.500 0.500
Se3 Se 0.175 0.500 0.849
Se4 Se 0.176 0.500 0.329

---

The most stable arrangement is A, and the next structure is 5.7 kJ/mol of atoms less stable.